(w)
GGA-PBE MgTa2Zn, optimized geometry; M_tot = 0.00 μB/f.u.; symmetry = Pm (6)
1.0
2.941 0.000 0.000
0.000 4.038 0.000
-0.368 0.000 6.086
Mg Ta Zn
1 2 1
direct
0.000 0.000 0.000 Mg
0.038 0.000 0.508 Ta
0.515 0.500 0.280 Ta
0.530 0.500 0.769 Zn

=====

(x)
GGA-PBE MgTa2Zn, optimized geometry; M_tot = 0.00 μB/f.u.; symmetry = R-3m (166)
1.0
2.895 0.000 0.000
-1.448 2.507 0.000
0.000 0.000 29.829
Mg Ta Zn
3 6 3
direct
0.000 0.000 0.000 Mg
0.333 0.667 0.667 Mg
0.667 0.333 0.333 Mg
0.000 0.000 0.246 Ta
0.000 0.000 0.754 Ta
0.333 0.667 0.421 Ta
0.333 0.667 0.913 Ta
0.667 0.333 0.087 Ta
0.667 0.333 0.579 Ta
0.000 0.000 0.500 Zn
0.333 0.667 0.167 Zn
0.667 0.333 0.833 Zn

=====

Which one is most stable, and which one is least stable? (w) is the most stable of them, while (x) is the least stable.

=====

(w)
GGA-PBE MgTa2Zn, optimized geometry; M_tot = 0.00 μB/f.u.; symmetry = I-4m2 (119)
1.0
4.014 0.000 0.000
0.000 4.014 0.000
0.000 0.000 8.678
Mg Ta Zn
2 4 2
direct
0.000 0.000 0.000 Mg
0.500 0.500 0.500 Mg
0.000 0.000 0.500 Ta
0.000 0.500 0.750 Ta
0.500 0.000 0.250 Ta
0.500 0.500 0.000 Ta
0.000 0.500 0.250 Zn
0.500 0.000 0.750 Zn

=====

(x)
GGA-PBE MgTa2Zn, optimized geometry; M_tot = 0.00 μB/f.u.; symmetry = Cm (8)
1.0
10.218 0.000 0.000
0.000 2.913 0.000
-2.029 0.000 4.774
Mg Ta Zn
2 4 2
direct
0.000 0.000 0.000 Mg
0.500 0.500 0.000 Mg
0.017 0.500 0.507 Ta
0.266 0.500 0.411 Ta
0.517 0.000 0.507 Ta
0.766 0.000 0.411 Ta
0.252 0.000 0.913 Zn
0.752 0.500 0.913 Zn

=====

(y)
GGA-PBE MgTa2Zn, optimized geometry; M_tot = 0.00 μB/f.u.; symmetry = P4mm (99)
1.0
2.837 0.000 0.000
0.000 2.837 0.000
0.000 0.000 8.865
Mg Ta Zn
1 2 1
direct
0.000 0.000 0.000 Mg
0.000 0.000 0.531 Ta
0.500 0.500 0.273 Ta
0.500 0.500 0.764 Zn

=====

Which one is most stable, and which one is least stable? (y) is the most stable of them, while (w) is the least stable.

=====

(w)
GGA-PBE MgTaZn, optimized geometry; M_tot = 0.00 μB/f.u.; symmetry = P3m1 (156)
1.0
2.922 0.000 0.000
-1.461 2.531 0.000
0.000 0.000 7.286
Mg Ta Zn
1 1 1
direct
0.000 0.000 0.000 Mg
0.667 0.333 0.352 Ta
0.333 0.667 0.673 Zn

=====

(x)
GGA-PBE MgTaZn, optimized geometry; M_tot = 0.00 μB/f.u.; symmetry = P3m1 (156)
1.0
4.482 0.000 0.000
-2.241 3.882 0.000
0.000 0.000 2.986
Mg Ta Zn
1 1 1
direct
0.000 0.000 0.000 Mg
0.333 0.667 0.501 Ta
0.667 0.333 0.003 Zn

=====

(y)
GGA-PBE MgTaZn, optimized geometry; M_tot = 0.00 μB/f.u.; symmetry = F-43m (216)
1.0
6.146 0.000 0.000
0.000 6.146 0.000
0.000 0.000 6.146
Mg Ta Zn
4 4 4
direct
0.000 0.000 0.000 Mg
0.000 0.500 0.500 Mg
0.500 0.000 0.500 Mg
0.500 0.500 0.000 Mg
0.000 0.000 0.500 Ta
0.000 0.500 0.000 Ta
0.500 0.000 0.000 Ta
0.500 0.500 0.500 Ta
0.250 0.250 0.750 Zn
0.250 0.750 0.250 Zn
0.750 0.250 0.250 Zn
0.750 0.750 0.750 Zn

=====

(z)
GGA-PBE MgTaZn, optimized geometry; M_tot = 0.00 μB/f.u.; symmetry = R-3m (166)
1.0
2.217 1.280 6.528
-2.217 1.280 6.528
0.000 -2.560 6.528
Mg Ta Zn
2 2 2
direct
0.126 0.126 0.126 Mg
0.874 0.874 0.874 Mg
0.299 0.299 0.299 Ta
0.701 0.701 0.701 Ta
0.434 0.434 0.434 Zn
0.566 0.566 0.566 Zn

=====

Which one is most stable, and which one is least stable? (w) is the most stable of them, while (y) is the least stable.

=====

(w)
GGA-PBE MgTaZn, optimized geometry; M_tot = 0.00 μB/f.u.; symmetry = F-43m (216)
1.0
6.376 0.000 0.000
0.000 6.376 0.000
0.000 0.000 6.376
Mg Ta Zn
4 4 4
direct
0.000 0.000 0.000 Mg
0.000 0.500 0.500 Mg
0.500 0.000 0.500 Mg
0.500 0.500 0.000 Mg
0.250 0.250 0.750 Ta
0.250 0.750 0.250 Ta
0.750 0.250 0.250 Ta
0.750 0.750 0.750 Ta
0.000 0.000 0.500 Zn
0.000 0.500 0.000 Zn
0.500 0.000 0.000 Zn
0.500 0.500 0.500 Zn

=====

(x)
GGA-PBE MgTaZn, optimized geometry; M_tot = 0.00 μB/f.u.; symmetry = F-43m (216)
1.0
6.206 0.000 0.000
0.000 6.206 0.000
0.000 0.000 6.206
Mg Ta Zn
4 4 4
direct
0.000 0.000 0.000 Mg
0.000 0.500 0.500 Mg
0.500 0.000 0.500 Mg
0.500 0.500 0.000 Mg
0.250 0.250 0.250 Ta
0.250 0.750 0.750 Ta
0.750 0.250 0.750 Ta
0.750 0.750 0.250 Ta
0.250 0.250 0.750 Zn
0.250 0.750 0.250 Zn
0.750 0.250 0.250 Zn
0.750 0.750 0.750 Zn

=====

Which one is most stable, and which one is least stable? (w) is the most stable of them, while (x) is the least stable.

=====

(w)
GGA-PBE Mg3TaZn, optimized geometry; M_tot = 4.20 μB/f.u.; symmetry = Pm-3m (221)
1.0
5.534 0.000 0.000
0.000 5.534 0.000
0.000 0.000 5.534
Mg Ta Zn
3 1 1
direct
0.000 0.000 0.500 Mg
0.000 0.500 0.000 Mg
0.500 0.000 0.000 Mg
0.000 0.000 0.000 Ta
0.500 0.500 0.500 Zn

=====

(x)
GGA-PBE Mg3TaZn, optimized geometry; M_tot = 0.00 μB/f.u.; symmetry = Pm-3m (221)
1.0
4.770 0.000 0.000
0.000 4.770 0.000
0.000 0.000 4.770
Mg Ta Zn
3 1 1
direct
0.000 0.000 0.500 Mg
0.000 0.500 0.000 Mg
0.500 0.000 0.000 Mg
0.500 0.500 0.500 Ta
0.000 0.000 0.000 Zn

=====

Which one is most stable, and which one is least stable? (x) is the most stable of them, while (w) is the least stable.

=====

(w)
GGA-PBE MgTaZn3, optimized geometry; M_tot = 0.00 μB/f.u.; symmetry = Pm-3m (221)
1.0
4.561 0.000 0.000
0.000 4.561 0.000
0.000 0.000 4.561
Mg Ta Zn
1 1 3
direct
0.000 0.000 0.000 Mg
0.500 0.500 0.500 Ta
0.000 0.000 0.500 Zn
0.000 0.500 0.000 Zn
0.500 0.000 0.000 Zn

=====

(x)
GGA-PBE MgTaZn3, optimized geometry; M_tot = 0.00 μB/f.u.; symmetry = Pm-3m (221)
1.0
5.017 0.000 0.000
0.000 5.017 0.000
0.000 0.000 5.017
Mg Ta Zn
1 1 3
direct
0.000 0.000 0.000 Mg
0.500 0.500 0.500 Ta
0.000 0.500 0.500 Zn
0.500 0.000 0.500 Zn
0.500 0.500 0.000 Zn

=====

Which one is most stable, and which one is least stable? (x) is the most stable of them, while (w) is the least stable.